# 1
Entry from Alexandria via LeMat-Bulk: an optimized crystal structure of BeFe3Ru (PBE-GGA).

Calculated values
ΔH_f (0 K)	0.70	eV per atom
total DFT energy (no corrections)	-34.91	eV per cell
SG	No. 221
ΔE to the lowest computed polymorph	0	meV per atom

Cell and atoms, written as POSCAR:
```
BeFe3Ru
1.0
3.798 0.000 0.000
0.000 3.798 0.000
0.000 0.000 3.798
Ru Fe Be
1 3 1
Cartesian
1.899 1.899 1.899
0.000 1.899 0.000
0.000 0.000 1.899
1.899 0.000 0.000
0.000 0.000 0.000
```

# 2
Entry from Alexandria via LeMat-Bulk: an optimized crystal structure of V5Mo (PBE-GGA).

Calculated values
ΔH_f (0 K)	-0.05	eV per atom
total DFT energy (no corrections)	-113.46	eV per cell
SG	No. 2

Cell and atoms, written as POSCAR:
```
V5Mo
1.0
-0.084 3.735 3.367
0.800 -5.044 1.421
6.858 3.429 -1.564
V Mo
10 2
Cartesian
2.051 1.137 2.845
5.522 0.983 0.379
6.607 3.461 1.774
3.220 -0.120 0.874
0.966 -1.341 1.449
4.353 2.240 2.350
7.030 0.927 2.520
3.644 -2.655 1.619
0.543 1.193 0.704
3.929 4.774 1.605
1.651 3.659 2.135
5.922 -1.539 1.089
```

# 3
Entry from Alexandria via LeMat-Bulk: an optimized crystal structure of Hg2GePb (PBE-GGA).

Calculated values
ΔH_f (0 K)	0.21	eV per atom
total DFT energy (no corrections)	-8.08	eV per cell
SG	No. 225
ΔE to the lowest computed polymorph	35	meV per atom

Cell and atoms, written as POSCAR:
```
Hg2GePb
1.0
0.000 3.701 3.701
3.701 0.000 3.701
3.701 3.701 0.000
Pb Ge Hg
1 1 2
Cartesian
3.701 3.701 3.701
0.000 0.000 0.000
1.850 1.850 1.850
5.551 5.551 5.551
```

# 4
Entry from Alexandria via LeMat-Bulk: an optimized crystal structure of ThTlPb6 (PBE-GGA).

Calculated values
ΔH_f (0 K)	-0.08	eV per atom
total DFT energy (no corrections)	-32.64	eV per cell
SG	No. 123

Cell and atoms, written as POSCAR:
```
ThTlPb6
1.0
4.882 0.000 0.000
0.000 4.882 0.000
0.000 0.000 10.257
Th Tl Pb
1 1 6
Cartesian
0.000 0.000 0.000
0.000 0.000 5.129
2.441 2.441 0.000
2.441 2.441 5.129
2.441 0.000 2.571
2.441 0.000 7.686
0.000 2.441 2.571
0.000 2.441 7.686
```

# 5
Entry from Alexandria via LeMat-Bulk: an optimized crystal structure of LiSbC3 (PBE-GGA).

Calculated values
total DFT energy (no corrections)	-20.72	eV per cell
SG	No. 221
ΔE to the lowest computed polymorph	0	meV per atom
uncorrected formation energy	2.5985	eV/atom

Cell and atoms, written as POSCAR:
```
LiSbC3
1.0
-0.072 -3.616 -2.315
4.139 -0.675 0.925
-1.143 -2.216 3.497
Sb C Li
1 3 1
Cartesian
0.000 0.000 0.000
2.070 -0.337 0.462
-0.571 -1.108 1.748
-0.036 -1.808 -1.158
1.462 -3.254 1.053
```

# 6
Entry from Alexandria via LeMat-Bulk: an optimized crystal structure of Ti2In2Rh3 (PBE-GGA).

Calculated values
ΔH_f (0 K)	-0.63	eV per atom
total DFT energy (no corrections)	-47.76	eV per cell
SG	No. 12

Cell and atoms, written as POSCAR:
```
Ti2In2Rh3
1.0
4.249 0.007 -1.190
-2.283 3.767 -0.003
-0.152 -0.093 7.688
Ti In Rh
2 2 3
Cartesian
2.336 1.421 0.154
-0.522 2.261 6.341
0.744 0.455 2.679
1.070 3.227 3.816
0.000 0.000 0.000
1.508 0.916 5.414
0.307 2.766 1.081
```

# 7
Entry from Alexandria via LeMat-Bulk: an optimized crystal structure of Ac8Mg (PBE-GGA).

Calculated values
ΔH_f (0 K)	0.03	eV per atom
total DFT energy (no corrections)	-34.24	eV per cell
SG	No. 139

Cell and atoms, written as POSCAR:
```
Ac8Mg
1.0
-1.938 -2.014 4.825
6.448 -4.446 3.956
1.450 5.948 6.287
Ac Mg
8 1
Cartesian
-0.316 2.650 7.423
-0.172 1.284 3.689
3.101 2.513 5.517
1.474 -2.140 2.921
1.312 -0.852 6.615
3.036 -4.320 5.860
4.797 -1.012 4.726
4.648 0.340 8.452
0.000 0.000 0.000
```

# 8
Entry from Alexandria via LeMat-Bulk: an optimized crystal structure of Ca4Ag3Sn (PBE-GGA).

Calculated values
ΔH_f (0 K)	-0.40	eV per atom
total DFT energy (no corrections)	-23.77	eV per cell
SG	No. 25
ΔE to the lowest computed polymorph	28	meV per atom

Cell and atoms, written as POSCAR:
```
Ca4Ag3Sn
1.0
3.923 0.000 0.000
0.000 4.848 0.000
0.000 0.000 11.628
Ca Ag Sn
4 3 1
Cartesian
1.962 2.424 4.207
0.000 2.424 9.878
0.000 0.000 1.706
1.962 0.000 7.464
0.000 2.424 6.667
0.000 0.000 4.968
1.962 0.000 10.718
1.962 2.424 0.904
```

# 9
Entry from Alexandria via LeMat-Bulk: an optimized crystal structure of U5SbSe5 (PBE-GGA).

Calculated values
total DFT energy (no corrections)	-87.07	eV per cell
SG	No. 12
uncorrected formation energy	-0.8257	eV/atom

Cell and atoms, written as POSCAR:
```
U5SbSe5
1.0
-5.398 -2.115 0.634
4.963 -4.943 -1.058
0.210 1.856 7.974
U Sb Se
5 1 5
Cartesian
-1.192 -4.640 1.194
-1.074 -3.788 5.041
-2.699 -1.057 0.317
0.849 -1.415 2.509
0.967 -0.562 6.356
0.000 0.000 0.000
-1.923 -2.301 2.777
-1.787 -1.485 6.650
0.105 0.928 3.987
1.562 -3.717 0.900
1.698 -2.902 4.773
```

# 10
Entry from Alexandria via LeMat-Bulk: an optimized crystal structure of La2YOs2 (PBE-GGA).

Calculated values
ΔH_f (0 K)	0.60	eV per atom
total DFT energy (no corrections)	-35.76	eV per cell
SG	No. 139
ΔE to the lowest computed polymorph	619	meV per atom

Cell and atoms, written as POSCAR:
```
La2YOs2
1.0
4.439 0.000 0.000
0.000 4.439 0.000
2.219 2.219 6.595
Y Os La
1 2 2
Cartesian
0.000 0.000 0.000
4.439 2.219 3.297
2.219 4.439 3.297
2.219 2.219 1.650
4.439 4.439 4.945
```

# 11
Entry from Alexandria via LeMat-Bulk: an optimized crystal structure of ZrZn (PBE-GGA).

Calculated values
ΔH_f (0 K)	-0.01	eV per atom
total DFT energy (no corrections)	-78.75	eV per cell
SG	No. 87

Cell and atoms, written as POSCAR:
```
ZrZn
1.0
-6.831 -4.414 0.873
1.637 -3.916 -6.993
2.428 -3.282 2.406
Zr Zn
8 8
Cartesian
-2.057 -1.443 0.108
-3.137 -6.887 -6.227
-6.173 -5.514 -1.291
0.979 -2.816 -4.829
-3.440 -7.249 -1.749
0.674 -4.363 -1.965
-0.725 -6.906 -4.021
-2.041 -4.706 0.308
-1.353 -4.161 -4.310
-3.841 -4.169 -1.810
-1.733 -2.893 -2.196
-3.461 -5.437 -3.923
-4.373 -6.051 0.826
1.607 -5.561 -4.539
-3.116 -8.699 -4.053
0.350 -2.913 0.340
```

# 12
Entry from Alexandria via LeMat-Bulk: an optimized crystal structure of Pt2W (PBE-GGA).

Calculated values
ΔH_f (0 K)	-0.27	eV per atom
total DFT energy (no corrections)	-103.38	eV per cell
SG	No. 62
ΔE to the lowest computed polymorph	81	meV per atom

Cell and atoms, written as POSCAR:
```
Pt2W
1.0
-2.972 3.572 -1.318
-3.041 -1.390 3.090
3.558 5.098 5.794
Pt W
8 4
Cartesian
-0.662 1.101 1.520
0.515 2.864 3.472
-3.220 0.143 1.926
-0.897 3.548 5.744
-1.558 3.733 1.822
0.765 7.138 5.640
-2.970 4.417 4.095
-1.793 6.180 6.046
1.693 4.564 5.395
-2.032 1.832 3.854
-0.422 5.449 3.712
-4.148 2.717 2.171
```

# 13
Entry from Alexandria via LeMat-Bulk: an optimized crystal structure of Cs2LaAgCl6 (PBE-GGA).

Calculated values
total DFT energy (no corrections)	-39.29	eV per cell
SG	No. 225
ΔE to the lowest computed polymorph	2	meV per atom
uncorrected formation energy	-1.8728	eV/atom

Cell and atoms, written as POSCAR:
```
Cs2LaAgCl6
1.0
-7.161 -0.155 3.199
-0.875 -1.864 7.569
-2.103 5.505 5.177
Cs La Ag Cl
2 1 1 6
Cartesian
-7.604 2.614 11.959
-2.535 0.871 3.986
0.000 0.000 0.000
-5.069 1.743 7.972
-6.115 0.794 5.587
-3.587 3.623 6.576
-4.024 2.691 10.358
-2.973 -0.060 7.771
-7.165 3.545 8.174
-6.552 -0.137 9.369
```

# 14
Entry from Alexandria via LeMat-Bulk: an optimized crystal structure of ThRuO (PBE-GGA).

Calculated values
total DFT energy (no corrections)	-101.90	eV per cell
SG	No. 70
uncorrected formation energy	-1.2740	eV/atom

Cell and atoms, written as POSCAR:
```
ThRuO
1.0
6.007 1.948 0.000
1.211 6.198 0.000
-3.609 -4.073 6.300
O Ru Th
4 4 4
Cartesian
0.000 0.000 1.509
3.609 4.073 4.791
0.605 3.099 1.641
0.605 3.099 4.659
3.912 5.622 1.575
1.502 0.487 4.725
3.306 2.523 1.575
-1.502 -0.487 4.725
1.846 4.498 3.150
1.240 1.399 0.000
-0.635 1.699 3.150
5.978 6.746 0.000
```

# 15
Entry from Alexandria via LeMat-Bulk: an optimized crystal structure of TmCd4Hg7 (PBE-GGA).

Calculated values
ΔH_f (0 K)	-0.08	eV per atom
total DFT energy (no corrections)	-11.18	eV per cell
SG	No. 2
ΔE to the lowest computed polymorph	0	meV per atom

Cell and atoms, written as POSCAR:
```
TmCd4Hg7
1.0
-1.646 -5.858 2.527
5.199 -1.129 0.607
0.826 0.436 8.759
Tm Cd Hg
1 4 7
Cartesian
0.000 0.000 0.000
2.975 -3.942 4.814
1.404 -2.609 7.079
3.552 -4.613 8.108
0.827 -1.938 3.785
1.374 -4.939 2.303
3.005 -1.612 9.590
0.622 -5.462 8.423
3.756 -1.089 3.469
4.470 -1.768 6.736
-0.823 -2.929 1.264
-0.091 -4.783 5.156
```

# 16
Entry from Alexandria via LeMat-Bulk: an optimized crystal structure of LiCdIn4 (PBE-GGA).

Calculated values
ΔH_f (0 K)	-0.04	eV per atom
total DFT energy (no corrections)	-28.10	eV per cell
SG	No. 15
ΔE to the lowest computed polymorph	0	meV per atom

Cell and atoms, written as POSCAR:
```
LiCdIn4
1.0
-2.125 -3.134 -4.417
8.738 -1.630 1.354
-4.733 -2.071 5.378
Li Cd In
2 2 8
Cartesian
-0.536 -0.797 -1.093
2.415 -6.038 3.407
3.570 -2.432 0.293
-1.691 -4.403 2.022
-2.338 -2.114 4.150
1.656 -4.789 0.945
1.165 -3.294 4.083
4.260 -3.899 2.942
-2.380 -2.937 -0.627
0.714 -3.541 -1.769
0.223 -2.046 1.369
4.217 -4.721 -1.836
```

# 17
Entry from Alexandria via LeMat-Bulk: an optimized crystal structure of PaBeNi2 (PBE-GGA).

Calculated values
ΔH_f (0 K)	-0.24	eV per atom
total DFT energy (no corrections)	-25.76	eV per cell
SG	No. 123
ΔE to the lowest computed polymorph	110	meV per atom

Cell and atoms, written as POSCAR:
```
PaBeNi2
1.0
-0.602 0.647 2.766
1.984 -1.929 0.883
4.503 4.589 -0.092
Ni Pa Be
2 1 1
Cartesian
3.661 3.731 -0.075
0.841 0.857 -0.017
2.942 1.653 1.778
0.691 -0.641 1.824
```

# 18
Entry from Alexandria via LeMat-Bulk: an optimized crystal structure of Sm2Cd3Cu2 (PBE-GGA).

Calculated values
ΔH_f (0 K)	-0.24	eV per atom
total DFT energy (no corrections)	-22.05	eV per cell
SG	No. 12
ΔE to the lowest computed polymorph	0	meV per atom

Cell and atoms, written as POSCAR:
```
Sm2Cd3Cu2
1.0
4.328 0.000 0.000
-2.164 5.048 0.151
0.000 -0.965 7.104
Sm Cd Cu
2 3 2
Cartesian
2.164 0.963 2.491
0.000 3.120 4.764
0.000 3.061 1.115
0.000 0.000 0.000
2.164 1.022 6.141
0.000 0.177 4.584
2.164 3.906 2.672
```

# 19
Entry from Alexandria via LeMat-Bulk: an optimized crystal structure of MnFeSbPd (PBE-GGA).

Calculated values
total DFT energy (no corrections)	-27.09	eV per cell
SG	No. 216
uncorrected formation energy	-0.0359	eV/atom

Cell and atoms, written as POSCAR:
```
MnFeSbPd
1.0
-0.253 3.262 2.973
-3.907 1.093 1.755
-0.859 -0.931 4.235
Sb Mn Fe Pd
1 1 1 1
Cartesian
-3.764 2.568 6.722
-1.255 0.856 2.241
-2.510 1.712 4.481
0.000 0.000 0.000
```

# 20
Entry from Alexandria via LeMat-Bulk: an optimized crystal structure of MgAgAu2 (PBE-GGA).

Calculated values
ΔH_f (0 K)	0.00	eV per atom
total DFT energy (no corrections)	-11.02	eV per cell
SG	No. 71

Cell and atoms, written as POSCAR:
```
MgAgAu2
1.0
5.065 -1.813 -3.039
-1.603 5.136 3.039
-3.540 0.224 5.059
Mg Ag Au
1 1 2
Cartesian
0.000 0.000 0.000
-2.572 2.680 4.049
-1.271 1.325 2.001
-3.872 4.035 6.097
```